La3SbCl3: relaxed, GGA-PBE.

Unit cell a=10.599 b=10.599 c=10.599 alpha=109.47 beta=109.47 gamma=109.47
Atoms (fractional coordinates):
La1 0.249 0.750 0.251
La2 0.249 0.999 0.998
La3 0.251 0.249 0.750
La4 0.251 0.502 0.501
La5 0.501 0.251 0.502
La6 0.501 0.750 0.999
La7 0.502 0.501 0.251
La8 0.750 0.251 0.249
La9 0.750 0.999 0.501
La10 0.998 0.249 0.999
La11 0.999 0.501 0.750
La12 0.999 0.998 0.249
Sb1 0.000 0.250 0.500
Sb2 0.250 0.250 0.250
Sb3 0.250 0.500 0.000
Sb4 0.500 0.000 0.250
Cl1 0.001 0.001 0.751
Cl2 0.001 0.499 0.250
Cl3 0.001 0.751 0.001
Cl4 0.250 0.001 0.499
Cl5 0.250 0.749 0.751
Cl6 0.499 0.250 0.001
Cl7 0.499 0.499 0.749
Cl8 0.499 0.749 0.499
Cl9 0.749 0.499 0.499
Cl10 0.749 0.751 0.250
Cl11 0.751 0.001 0.001
Cl12 0.751 0.250 0.749

Values from the calculation:
- raw formation energy (eV/atom) = -1.717
- size of the total moment (μB/f.u.) = 0.00

=====

La4SbCl5: relaxed, GGA-PBE.

Unit cell a=8.958 b=10.040 c=7.053 alpha=90.00 beta=90.00 gamma=90.00
Atoms (fractional coordinates):
La1 0.078 0.250 0.001
La2 0.250 0.009 0.407
La3 0.250 0.491 0.407
La4 0.422 0.250 0.001
La5 0.578 0.750 0.999
La6 0.750 0.509 0.593
La7 0.750 0.991 0.593
La8 0.922 0.750 0.999
Sb1 0.250 0.750 0.172
Sb2 0.750 0.250 0.828
Cl1 0.043 0.553 0.736
Cl2 0.043 0.947 0.736
Cl3 0.250 0.250 0.647
Cl4 0.457 0.553 0.736
Cl5 0.457 0.947 0.736
Cl6 0.543 0.053 0.264
Cl7 0.543 0.447 0.264
Cl8 0.750 0.750 0.353
Cl9 0.957 0.053 0.264
Cl10 0.957 0.447 0.264

Values from the calculation:
- raw formation energy (eV/atom) = -1.690
- size of the total moment (μB/f.u.) = 0.00

=====

LaSbCl: relaxed, GGA-PBE.

Unit cell a=5.307 b=5.307 c=5.307 alpha=60.00 beta=60.00 gamma=60.00
Atoms (fractional coordinates):
La1 0.000 0.000 0.000
Sb1 0.250 0.250 0.250
Cl1 0.500 0.500 0.500

Values from the calculation:
- offset from the most stable computed form (meV per atom) = 818.2
- raw formation energy (eV/atom) = -0.642
- size of the total moment (μB/f.u.) = 0.68

=====

> Which of these has the highest raw formation energy?

LaSbCl

=====

> Which value of size of the total moment does entry 3 give?

0.68 μB/f.u.

=====

> Which value of size of the total moment does entry 2 give?

0.00 μB/f.u.

=====

> Among the records above, which one has the highest size of the total moment?

LaSbCl